Entry 1:
Compound: Cd3BiI
Source: Alexandria
Functional: GGA-PBE
Structure: optimized geometry

Cell: 8.1826 8.1826 8.1826 Å, 59.68 59.68 59.68°
With the nearest neighbours (Å) after each atom.
Atoms (fractional coordinates):
Cd 0.1348 0.7456 0.3534  2 Bi 3.02, 1 I 3.18
Cd 0.3534 0.1348 0.7456  2 Bi 3.02, 1 I 3.18
Cd 0.7456 0.3534 0.1348  2 Bi 3.02, 1 I 3.18
Cd 0.2456 0.6348 0.8534  2 Bi 3.02, 1 I 3.18
Cd 0.8534 0.2456 0.6348  2 Bi 3.02, 1 I 3.18
Cd 0.6348 0.8534 0.2456  2 Bi 3.02, 1 I 3.18
I 0.7436 0.7436 0.7436  3 Cd 3.18
I 0.2436 0.2436 0.2436  3 Cd 3.18
Bi 0.4941 0.4941 0.4941  6 Cd 3.02
Bi 0.9941 0.9941 0.9941  6 Cd 3.02

Results
energy = -1.6429 eV/atom
E above lowest polymorph = 0 kJ/mol of formula units
formation energy from raw total energies = -7.7 meV/atom

***

Entry 2:
Compound: PuAs2Au
Source: Alexandria
Functional: GGA-PBE
Structure: optimized geometry

Cell: 3.8663 4.5406 4.5406 Å, 90.00 90.00 90.00°
With the nearest neighbours (Å) after each atom.
Atoms (fractional coordinates):
As 0.0000 0.5000 0.0000  4 Pu 2.98, 4 Au 2.98, 4 As 3.21
As 0.0000 0.0000 0.5000  4 Pu 2.98, 4 Au 2.98, 4 As 3.21
Pu 0.5000 0.5000 0.5000  8 As 2.98, 4 Au 3.21
Au 0.5000 0.0000 0.0000  8 As 2.98, 4 Pu 3.21

Results
energy = -7.2321 eV/atom
ΔH_f (0 K) = -0.505 eV/atom

***

Entry 3:
Compound: Ir2PbAu
Source: Alexandria
Functional: GGA-PBE
Structure: optimized geometry

Cell: 2.9740 5.0456 4.7741 Å, 90.00 90.00 90.00°
With the nearest neighbours (Å) after each atom.
Atoms (fractional coordinates):
Ir 0.0000 0.0000 0.0000  4 Pb 2.81, 6 Ir 2.93-2.97
Ir 0.5000 0.5000 0.0000  4 Au 2.81, 6 Ir 2.93-2.97
Au 0.0000 0.5000 0.5000  4 Ir 2.81, 4 Pb 2.93, 2 Au 2.97
Pb 0.5000 0.0000 0.5000  4 Ir 2.81, 4 Au 2.93, 2 Pb 2.97

Results
energy = -5.6400 eV/atom
ΔH_f (0 K) = 0.537 eV/atom

***

Entry 4:
Compound: Pm3Cd2Co2
Source: Alexandria
Functional: GGA-PBE
Structure: optimized geometry

Cell: 3.8667 3.9578 11.1277 Å, 90.00 79.99 90.00°
With the nearest neighbours (Å) after each atom.
Atoms (fractional coordinates):
Pm 0.0000 0.0000 0.0000  8 Cd 3.38
Pm 0.1754 0.0000 0.6491  6 Co 2.95-2.97
Pm 0.8246 0.0000 0.3509  6 Co 2.95-2.97
Co 0.7248 0.5000 0.5504  2 Co 2.23
Co 0.2752 0.5000 0.4496  2 Co 2.23
Cd 0.5883 0.5000 0.8233  1 Co 2.99
Cd 0.4117 0.5000 0.1767  1 Co 2.99

Results
energy = -4.5588 eV/atom
ΔH_f (0 K) = -0.231 eV/atom

***

What did the third record say?
Compound: Ir2PbAu
Source: Alexandria
Functional: GGA-PBE
Structure: optimized geometry

Cell: 2.9740 5.0456 4.7741 Å, 90.00 90.00 90.00°
With the nearest neighbours (Å) after each atom.
Atoms (fractional coordinates):
Ir 0.0000 0.0000 0.0000  4 Pb 2.81, 6 Ir 2.93-2.97
Ir 0.5000 0.5000 0.0000  4 Au 2.81, 6 Ir 2.93-2.97
Au 0.0000 0.5000 0.5000  4 Ir 2.81, 4 Pb 2.93, 2 Au 2.97
Pb 0.5000 0.0000 0.5000  4 Ir 2.81, 4 Au 2.93, 2 Pb 2.97

Results
energy = -5.6400 eV/atom
ΔH_f (0 K) = 0.537 eV/atom

***

Which value of energy does entry 1 give? -1.6429 eV/atom